Cs3TcO3: relaxed, PBE.

The space group is P2_1/m (No. 11) and the conventional cell measures 7.8239, 6.2090 and 8.3125 Å, with angles of 90.00, 98.91 and 90.00 degrees. The inequivalent atoms are Cs at (0.1053, 0.2500, 0.2906), Cs at (0.3274, 0.7500, 0.0655), Cs at (0.3492, 0.7500, 0.5623), Tc at (0.1932, 0.2500, 0.7757), O at (0.0426, 0.7500, 0.2978), O at (0.2827, 0.2500, 0.9943) and O at (0.3503, 0.2500, 0.6289).

Its total energy is -74.046 eV per cell. As for the uncorrected formation energy: -1.32 eV per atom.